# BaTl3Br12 (PBE-GGA, optimized geometry)
data_BaTl3Br12
_chemical_formula_sum 'Ba2 Tl6 Br24'
_cell_length_a 14.529
_cell_length_b 14.529
_cell_length_c 14.529
_cell_angle_alpha 46.92
_cell_angle_beta 46.92
_cell_angle_gamma 46.92
_symmetry_space_group_name_H-M 'P 1'
_symmetry_Int_Tables_number 1
loop_
_symmetry_equiv_pos_as_xyz
'x,y,z'
loop_
_atom_site_label
_atom_site_type_symbol
_atom_site_fract_x
_atom_site_fract_y
_atom_site_fract_z
_atom_site_occupancy
Ba1 Ba 0.000 0.000 0.000 1
Ba2 Ba 0.500 0.500 0.500 1
Tl1 Tl 0.089 0.382 0.700 1
Tl2 Tl 0.200 0.882 0.589 1
Tl3 Tl 0.382 0.700 0.089 1
Tl4 Tl 0.589 0.200 0.882 1
Tl5 Tl 0.700 0.089 0.382 1
Tl6 Tl 0.882 0.589 0.200 1
Br1 Br 0.092 0.139 0.439 1
Br2 Br 0.138 0.203 0.654 1
Br3 Br 0.139 0.439 0.092 1
Br4 Br 0.154 0.703 0.638 1
Br5 Br 0.182 0.817 0.818 1
Br6 Br 0.203 0.654 0.138 1
Br7 Br 0.289 0.975 0.939 1
Br8 Br 0.317 0.682 0.318 1
Br9 Br 0.318 0.317 0.682 1
Br10 Br 0.439 0.092 0.139 1
Br11 Br 0.439 0.475 0.789 1
Br12 Br 0.475 0.789 0.439 1
Br13 Br 0.592 0.939 0.639 1
Br14 Br 0.638 0.154 0.703 1
Br15 Br 0.639 0.592 0.939 1
Br16 Br 0.654 0.138 0.203 1
Br17 Br 0.682 0.318 0.317 1
Br18 Br 0.703 0.638 0.154 1
Br19 Br 0.789 0.439 0.475 1
Br20 Br 0.817 0.818 0.182 1
Br21 Br 0.818 0.182 0.817 1
Br22 Br 0.939 0.289 0.975 1
Br23 Br 0.939 0.639 0.592 1
Br24 Br 0.975 0.939 0.289 1
# **ΔE_f (raw)**: -0.70 eV per atom
# **Calculated total energy**: -2.5189 eV per atom
# **V**: 46.7 A^3/atom

# Ba2Tl2Br (PBE-GGA, optimized geometry)
data_Ba2Tl2Br
_chemical_formula_sum 'Ba4 Tl4 Br2'
_cell_length_a 9.795
_cell_length_b 9.795
_cell_length_c 4.285
_cell_angle_alpha 90.00
_cell_angle_beta 90.00
_cell_angle_gamma 90.00
_symmetry_space_group_name_H-M 'P 1'
_symmetry_Int_Tables_number 1
loop_
_symmetry_equiv_pos_as_xyz
'x,y,z'
loop_
_atom_site_label
_atom_site_type_symbol
_atom_site_fract_x
_atom_site_fract_y
_atom_site_fract_z
_atom_site_occupancy
Ba1 Ba 0.193 0.307 0.000 1
Ba2 Ba 0.307 0.807 0.000 1
Ba3 Ba 0.693 0.193 0.000 1
Ba4 Ba 0.807 0.693 0.000 1
Tl1 Tl 0.107 0.607 0.500 1
Tl2 Tl 0.393 0.107 0.500 1
Tl3 Tl 0.607 0.893 0.500 1
Tl4 Tl 0.893 0.393 0.500 1
Br1 Br 0.000 0.000 0.500 1
Br2 Br 0.500 0.500 0.500 1
# **Energy above the most stable polymorph in this dataset**: 104 meV per atom
# **ΔE_f (raw)**: -0.61 eV per atom
# **Calculated total energy**: -2.6577 eV per atom
# **V**: 41.1 A^3/atom

# BaTlBr (PBE-GGA, optimized geometry)
data_BaTlBr
_chemical_formula_sum 'Ba4 Tl4 Br4'
_cell_length_a 8.702
_cell_length_b 5.054
_cell_length_c 11.881
_cell_angle_alpha 90.00
_cell_angle_beta 93.66
_cell_angle_gamma 90.00
_symmetry_space_group_name_H-M 'P 1'
_symmetry_Int_Tables_number 1
loop_
_symmetry_equiv_pos_as_xyz
'x,y,z'
loop_
_atom_site_label
_atom_site_type_symbol
_atom_site_fract_x
_atom_site_fract_y
_atom_site_fract_z
_atom_site_occupancy
Ba1 Ba 0.019 0.000 0.225 1
Ba2 Ba 0.481 0.500 0.775 1
Ba3 Ba 0.519 0.500 0.225 1
Ba4 Ba 0.981 0.000 0.775 1
Tl1 Tl 0.165 0.500 0.974 1
Tl2 Tl 0.335 0.000 0.026 1
Tl3 Tl 0.665 0.000 0.974 1
Tl4 Tl 0.835 0.500 0.026 1
Br1 Br 0.195 0.500 0.351 1
Br2 Br 0.305 0.000 0.649 1
Br3 Br 0.695 0.000 0.351 1
Br4 Br 0.805 0.500 0.649 1
# **Energy above the most stable polymorph in this dataset**: 0 meV per atom
# **ΔE_f (raw)**: -1.19 eV per atom
# **Calculated total energy**: -3.1738 eV per atom
# **V**: 43.5 A^3/atom

# BaTl2Br8 (PBE-GGA, optimized geometry)
data_BaTl2Br8
_chemical_formula_sum 'Ba1 Tl2 Br8'
_cell_length_a 8.583
_cell_length_b 8.583
_cell_length_c 7.709
_cell_angle_alpha 103.17
_cell_angle_beta 103.17
_cell_angle_gamma 63.14
_symmetry_space_group_name_H-M 'P 1'
_symmetry_Int_Tables_number 1
loop_
_symmetry_equiv_pos_as_xyz
'x,y,z'
loop_
_atom_site_label
_atom_site_type_symbol
_atom_site_fract_x
_atom_site_fract_y
_atom_site_fract_z
_atom_site_occupancy
Ba1 Ba 0.000 0.000 0.000 1
Tl1 Tl 0.210 0.210 0.691 1
Tl2 Tl 0.790 0.790 0.309 1
Br1 Br 0.109 0.664 0.217 1
Br2 Br 0.190 0.190 0.337 1
Br3 Br 0.336 0.891 0.783 1
Br4 Br 0.392 0.392 0.820 1
Br5 Br 0.608 0.608 0.180 1
Br6 Br 0.664 0.109 0.217 1
Br7 Br 0.810 0.810 0.663 1
Br8 Br 0.891 0.336 0.783 1
# **ΔE_f (raw)**: -0.92 eV per atom
# **Calculated total energy**: -2.7382 eV per atom
# **V**: 44.4 A^3/atom

# Ba3TlBr7 (PBE-GGA, optimized geometry)
data_Ba3TlBr7
_chemical_formula_sum 'Ba6 Tl2 Br14'
_cell_length_a 9.578
_cell_length_b 9.578
_cell_length_c 10.757
_cell_angle_alpha 90.00
_cell_angle_beta 90.00
_cell_angle_gamma 107.94
_symmetry_space_group_name_H-M 'P 1'
_symmetry_Int_Tables_number 1
loop_
_symmetry_equiv_pos_as_xyz
'x,y,z'
loop_
_atom_site_label
_atom_site_type_symbol
_atom_site_fract_x
_atom_site_fract_y
_atom_site_fract_z
_atom_site_occupancy
Ba1 Ba 0.000 0.000 0.000 1
Ba2 Ba 0.000 0.000 0.500 1
Ba3 Ba 0.034 0.507 0.751 1
Ba4 Ba 0.493 0.966 0.749 1
Ba5 Ba 0.507 0.034 0.249 1
Ba6 Ba 0.966 0.493 0.251 1
Tl1 Tl 0.500 0.500 0.000 1
Tl2 Tl 0.500 0.500 0.500 1
Br1 Br 0.126 0.874 0.750 1
Br2 Br 0.128 0.378 0.483 1
Br3 Br 0.129 0.378 0.018 1
Br4 Br 0.140 0.860 0.250 1
Br5 Br 0.378 0.128 0.517 1
Br6 Br 0.378 0.129 0.982 1
Br7 Br 0.385 0.615 0.750 1
Br8 Br 0.615 0.385 0.250 1
Br9 Br 0.622 0.871 0.482 1
Br10 Br 0.622 0.872 0.017 1
Br11 Br 0.860 0.140 0.750 1
Br12 Br 0.871 0.622 0.518 1
Br13 Br 0.872 0.622 0.983 1
Br14 Br 0.874 0.126 0.250 1
# **ΔE_f (raw)**: -1.93 eV per atom
# **Calculated total energy**: -3.7366 eV per atom
# **V**: 42.7 A^3/atom

# BaTl2Br (PBE-GGA, optimized geometry)
data_BaTl2Br
_chemical_formula_sum 'Ba1 Tl2 Br1'
_cell_length_a 4.608
_cell_length_b 4.608
_cell_length_c 7.013
_cell_angle_alpha 90.00
_cell_angle_beta 90.00
_cell_angle_gamma 90.00
_symmetry_space_group_name_H-M 'P 1'
_symmetry_Int_Tables_number 1
loop_
_symmetry_equiv_pos_as_xyz
'x,y,z'
loop_
_atom_site_label
_atom_site_type_symbol
_atom_site_fract_x
_atom_site_fract_y
_atom_site_fract_z
_atom_site_occupancy
Ba1 Ba 0.000 0.000 0.000 1
Tl1 Tl 0.000 0.500 0.500 1
Tl2 Tl 0.500 0.000 0.500 1
Br1 Br 0.500 0.500 0.000 1
# **Energy above the most stable polymorph in this dataset**: 37 meV per atom
# **ΔE_f (raw)**: -0.71 eV per atom
# **Calculated total energy**: -2.7888 eV per atom
# **V**: 37.2 A^3/atom

# Ba3Tl5Br12 (PBE-GGA, optimized geometry)
data_Ba3Tl5Br12
_chemical_formula_sum 'Ba12 Tl20 Br48'
_cell_length_a 16.450
_cell_length_b 16.450
_cell_length_c 16.450
_cell_angle_alpha 109.47
_cell_angle_beta 109.47
_cell_angle_gamma 109.47
_symmetry_space_group_name_H-M 'P 1'
_symmetry_Int_Tables_number 1
loop_
_symmetry_equiv_pos_as_xyz
'x,y,z'
loop_
_atom_site_label
_atom_site_type_symbol
_atom_site_fract_x
_atom_site_fract_y
_atom_site_fract_z
_atom_site_occupancy
Ba1 Ba 0.125 0.250 0.375 1
Ba2 Ba 0.125 0.375 0.750 1
Ba3 Ba 0.250 0.375 0.125 1
Ba4 Ba 0.250 0.875 0.625 1
Ba5 Ba 0.375 0.125 0.250 1
Ba6 Ba 0.375 0.750 0.125 1
Ba7 Ba 0.625 0.250 0.875 1
Ba8 Ba 0.625 0.875 0.750 1
Ba9 Ba 0.750 0.125 0.375 1
Ba10 Ba 0.750 0.625 0.875 1
Ba11 Ba 0.875 0.625 0.250 1
Ba12 Ba 0.875 0.750 0.625 1
Tl1 Tl 0.000 0.000 0.000 1
Tl2 Tl 0.000 0.000 0.500 1
Tl3 Tl 0.000 0.500 0.000 1
Tl4 Tl 0.000 0.500 0.500 1
Tl5 Tl 0.125 0.750 0.875 1
Tl6 Tl 0.125 0.875 0.250 1
Tl7 Tl 0.250 0.125 0.875 1
Tl8 Tl 0.250 0.625 0.375 1
Tl9 Tl 0.375 0.250 0.625 1
Tl10 Tl 0.375 0.625 0.750 1
Tl11 Tl 0.500 0.000 0.000 1
Tl12 Tl 0.500 0.000 0.500 1
Tl13 Tl 0.500 0.500 0.000 1
Tl14 Tl 0.500 0.500 0.500 1
Tl15 Tl 0.625 0.375 0.250 1
Tl16 Tl 0.625 0.750 0.375 1
Tl17 Tl 0.750 0.375 0.625 1
Tl18 Tl 0.750 0.875 0.125 1
Tl19 Tl 0.875 0.125 0.750 1
Tl20 Tl 0.875 0.250 0.125 1
Br1 Br 0.057 0.226 0.138 1
Br2 Br 0.057 0.331 0.919 1
Br3 Br 0.081 0.638 0.412 1
Br4 Br 0.081 0.943 0.669 1
Br5 Br 0.088 0.726 0.669 1
Br6 Br 0.088 0.862 0.419 1
Br7 Br 0.138 0.057 0.226 1
Br8 Br 0.138 0.581 0.912 1
Br9 Br 0.169 0.226 0.588 1
Br10 Br 0.169 0.443 0.581 1
Br11 Br 0.226 0.138 0.057 1
Br12 Br 0.226 0.588 0.169 1
Br13 Br 0.274 0.331 0.912 1
Br14 Br 0.274 0.443 0.362 1
Br15 Br 0.331 0.912 0.274 1
Br16 Br 0.331 0.919 0.057 1
Br17 Br 0.362 0.274 0.443 1
Br18 Br 0.362 0.588 0.919 1
Br19 Br 0.412 0.081 0.638 1
Br20 Br 0.412 0.831 0.774 1
Br21 Br 0.419 0.088 0.862 1
Br22 Br 0.419 0.831 0.557 1
Br23 Br 0.443 0.362 0.274 1
Br24 Br 0.443 0.581 0.169 1
Br25 Br 0.557 0.419 0.831 1
Br26 Br 0.557 0.638 0.726 1
Br27 Br 0.581 0.169 0.443 1
Br28 Br 0.581 0.912 0.138 1
Br29 Br 0.588 0.169 0.226 1
Br30 Br 0.588 0.919 0.362 1
Br31 Br 0.638 0.412 0.081 1
Br32 Br 0.638 0.726 0.557 1
Br33 Br 0.669 0.081 0.943 1
Br34 Br 0.669 0.088 0.726 1
Br35 Br 0.726 0.557 0.638 1
Br36 Br 0.726 0.669 0.088 1
Br37 Br 0.774 0.412 0.831 1
Br38 Br 0.774 0.862 0.943 1
Br39 Br 0.831 0.557 0.419 1
Br40 Br 0.831 0.774 0.412 1
Br41 Br 0.862 0.419 0.088 1
Br42 Br 0.862 0.943 0.774 1
Br43 Br 0.912 0.138 0.581 1
Br44 Br 0.912 0.274 0.331 1
Br45 Br 0.919 0.057 0.331 1
Br46 Br 0.919 0.362 0.588 1
Br47 Br 0.943 0.669 0.081 1
Br48 Br 0.943 0.774 0.862 1
# **ΔE_f (raw)**: -1.34 eV per atom
# **Calculated total energy**: -3.2238 eV per atom
# **V**: 42.8 A^3/atom

# BaTlBr (PBE-GGA, optimized geometry)
data_BaTlBr
_chemical_formula_sum 'Ba4 Tl4 Br4'
_cell_length_a 7.858
_cell_length_b 7.858
_cell_length_c 7.858
_cell_angle_alpha 90.00
_cell_angle_beta 90.00
_cell_angle_gamma 90.00
_symmetry_space_group_name_H-M 'P 1'
_symmetry_Int_Tables_number 1
loop_
_symmetry_equiv_pos_as_xyz
'x,y,z'
loop_
_atom_site_label
_atom_site_type_symbol
_atom_site_fract_x
_atom_site_fract_y
_atom_site_fract_z
_atom_site_occupancy
Ba1 Ba 0.000 0.000 0.000 1
Ba2 Ba 0.000 0.500 0.500 1
Ba3 Ba 0.500 0.000 0.500 1
Ba4 Ba 0.500 0.500 0.000 1
Tl1 Tl 0.000 0.000 0.500 1
Tl2 Tl 0.000 0.500 0.000 1
Tl3 Tl 0.500 0.000 0.000 1
Tl4 Tl 0.500 0.500 0.500 1
Br1 Br 0.250 0.250 0.750 1
Br2 Br 0.250 0.750 0.250 1
Br3 Br 0.750 0.250 0.250 1
Br4 Br 0.750 0.750 0.750 1
# **Energy above the most stable polymorph in this dataset**: 412 meV per atom
# **ΔE_f (raw)**: -0.77 eV per atom
# **Calculated total energy**: -2.7616 eV per atom
# **V**: 40.4 A^3/atom